(1)
# FeCuTe2Rh

A relaxed FeCuTe2Rh crystal (GGA-PBEsol, the Alexandria database).

a = 4.6240 Å, b = 5.0616 Å, c = 5.0616 Å
α = 90.00°, β = 90.00°, γ = 90.00°
Last column: nearest neighbours and their distance in Å.
Fractional positions:
Te: 0.0000 0.0000 0.5000  2 Rh 2.53
Te: 0.0000 0.5000 0.0000  2 Rh 2.53
Rh: 0.0000 0.0000 0.0000  2 Fe 2.31, 4 Te 2.53
Fe: 0.5000 0.0000 0.0000  2 Rh 2.31
Cu: 0.5000 0.5000 0.5000  8 Te 3.43, 4 Fe 3.58

D(E_F) ... 6.476 states/eV per cell
ΔE_f (raw) ... 940 meV/atom
DFT total energy ... -4.758 eV/atom
Magnetic moment ... 3.67 μB/cell
Crystal system ... tetragonal
Symmetry ... P4/mmm

=====

(2)
# FeCuRu

A relaxed FeCuRu crystal (GGA-PBEsol, the Alexandria database).

a = 3.8312 Å, b = 3.8312 Å, c = 3.8312 Å
α = 60.00°, β = 60.00°, γ = 60.00°
Last column: nearest neighbours and their distance in Å.
Fractional positions:
Cu: 0.5000 0.5000 0.5000  4 Fe 2.35
Fe: 0.2500 0.2500 0.2500  4 Ru 2.35, 4 Cu 2.35
Ru: 0.0000 0.0000 0.0000  4 Fe 2.35

D(E_F) ... 2.725 states/eV per cell
E above lowest polymorph ... 323 meV/atom
DFT total energy ... -7.205 eV/atom
Magnetic moment ... 0.60 μB/cell
Crystal system ... cubic
Symmetry ... F-43m
Formation energy from the elements ... 0.618 eV per atom

=====

(3)
# FeCuRu

A relaxed FeCuRu crystal (GGA-PBEsol, the Alexandria database).

a = 2.4640 Å, b = 4.1458 Å, c = 4.1458 Å
α = 120.00°, β = 90.00°, γ = 90.00°
Last column: nearest neighbours and their distance in Å.
Fractional positions:
Cu: 0.9332 0.0000 0.0000  3 Fe 2.46, 2 Cu 2.46, 3 Ru 2.61
Fe: 0.7074 0.3333 0.6667  3 Cu 2.46, 2 Fe 2.46, 3 Ru 2.54
Ru: 0.3594 0.6667 0.3333  2 Ru 2.46, 3 Fe 2.54, 3 Cu 2.61

D(E_F) ... 3.541 states/eV per cell
E above lowest polymorph ... 0 meV/atom
DFT total energy ... -7.528 eV/atom
Magnetic moment ... 3.14 μB/cell
Crystal system ... trigonal
Symmetry ... P3m1
Formation energy from the elements ... 0.295 eV per atom

=====

(4)
# FeCu2Ru

A relaxed FeCu2Ru crystal (GGA-PBEsol, the Alexandria database).

a = 2.5608 Å, b = 2.5608 Å, c = 8.6053 Å
α = 81.44°, β = 81.44°, γ = 60.00°
Last column: nearest neighbours and their distance in Å.
Fractional positions:
Cu: 0.2479 0.2479 0.2562  3 Fe 2.54, 6 Cu 2.56, 3 Ru 2.63
Cu: 0.7521 0.7521 0.7438  3 Fe 2.54, 6 Cu 2.56, 3 Ru 2.63
Fe: 0.5000 0.5000 0.5000  6 Cu 2.54, 6 Fe 2.56
Ru: 0.0000 0.0000 0.0000  6 Ru 2.56, 6 Cu 2.63

D(E_F) ... 4.348 states/eV per cell
DFT total energy ... -6.687 eV/atom
Magnetic moment ... 2.74 μB/cell
Crystal system ... trigonal
Symmetry ... R-3m
Formation energy from the elements ... 0.264 eV per atom

=====

(5)
# FeCu5S4

A relaxed FeCu5S4 crystal (GGA-PBEsol, the Alexandria database).

a = 3.7648 Å, b = 6.5207 Å, c = 6.5646 Å
α = 109.52°, β = 90.00°, γ = 90.00°
Last column: nearest neighbours and their distance in Å.
Fractional positions:
Fe: 0.0000 0.1333 0.3887  4 S 2.25-2.33
Cu: 0.0000 0.3883 0.1380  4 S 2.30-2.35
Cu: 0.5000 0.6295 0.3951  4 S 2.29-2.49
Cu: 0.0000 0.6263 0.8693  4 S 2.23-2.34
Cu: 0.5000 0.8700 0.1340  4 S 2.30-2.34
Cu: 0.5000 0.1189 0.8693  4 S 2.23-2.33
S: 0.0000 0.0065 0.0120  6 Cu 2.33-2.35, 1 Fe 2.33
S: 0.0000 0.4997 0.5090  4 Cu 2.23-2.30, 1 Fe 2.25
S: 0.5000 0.4956 0.9923  7 Cu 2.30-2.49
S: 0.5000 0.0039 0.5084  3 Cu 2.23-2.32, 2 Fe 2.31

D(E_F) ... 5.099 states/eV per cell
ΔE_f (raw) ... -177 meV/atom
DFT total energy ... -4.994 eV/atom
Magnetic moment ... 4.04 μB/cell
Crystal system ... monoclinic
Symmetry ... Pm

=====

(6)
# FeCu3S4

A relaxed FeCu3S4 crystal (GGA-PBEsol, the Alexandria database).

a = 5.1399 Å, b = 5.1399 Å, c = 6.2284 Å
α = 114.37°, β = 114.37°, γ = 90.00°
Last column: nearest neighbours and their distance in Å.
Fractional positions:
Fe: 0.0000 0.0000 0.0000  4 S 2.15
Cu: 0.5000 0.5000 0.0000  4 S 2.24
Cu: 0.2500 0.7500 0.5000  4 S 2.23
Cu: 0.7500 0.2500 0.5000  4 S 2.23
S: 0.8796 0.3642 0.2438  1 Fe 2.15, 3 Cu 2.23-2.24
S: 0.3642 0.8796 0.2438  1 Fe 2.15, 3 Cu 2.23-2.24
S: 0.1204 0.1204 0.7562  1 Fe 2.15, 3 Cu 2.23-2.24
S: 0.6358 0.6358 0.7562  1 Fe 2.15, 3 Cu 2.23-2.24

D(E_F) ... 4.192 states/eV per cell
ΔE_f (raw) ... -302 meV/atom
DFT total energy ... -5.240 eV/atom
Magnetic moment ... 2.66 μB/cell
Crystal system ... tetragonal
Symmetry ... I-42m

=====

(7)
# Fe2CuSbS

A relaxed Fe2CuSbS crystal (GGA-PBEsol, the Alexandria database).

a = 4.7281 Å, b = 4.7281 Å, c = 5.0902 Å
α = 90.00°, β = 90.00°, γ = 90.00°
Last column: nearest neighbours and their distance in Å.
Fractional positions:
Sb: 0.0000 0.0000 0.0000  4 Fe 2.36, 2 S 2.55
S: 0.0000 0.0000 0.5000  2 Sb 2.55
Fe: 0.0000 0.5000 0.0000  2 Sb 2.36
Fe: 0.5000 0.0000 0.0000  2 Sb 2.36
Cu: 0.5000 0.5000 0.5000  4 S 3.34, 8 Fe 3.47

D(E_F) ... 7.427 states/eV per cell
ΔE_f (raw) ... 1527 meV/atom
DFT total energy ... -4.714 eV/atom
Magnetic moment ... 5.68 μB/cell
Crystal system ... tetragonal
Symmetry ... P4/mmm

=====

(8)
# Fe2Cu10Sb4S13

A relaxed Fe2Cu10Sb4S13 crystal (GGA-PBEsol, the Alexandria database).

a = 8.7931 Å, b = 8.7931 Å, c = 8.7931 Å
α = 109.58°, β = 109.58°, γ = 109.25°
Last column: nearest neighbours and their distance in Å.
Fractional positions:
Fe: 0.2220 0.2220 0.0000  3 S 2.19-2.26
Fe: 0.7780 0.7780 0.0000  3 S 2.19-2.26
Cu: 0.5000 0.7488 0.2488  4 S 2.25-2.26
Cu: 0.7488 0.5000 0.2488  4 S 2.25-2.26
Cu: 0.2500 0.7500 0.5000  4 S 2.26
Cu: 0.2512 0.5000 0.7512  4 S 2.25-2.26
Cu: 0.5000 0.2512 0.7512  4 S 2.25-2.26
Cu: 0.7500 0.2500 0.5000  4 S 2.26
Cu: 0.0000 0.7777 0.7777  3 S 2.22-2.25
Cu: 0.2223 0.0000 0.2223  3 S 2.22-2.25
Cu: 0.0000 0.2223 0.2223  3 S 2.22-2.25
Cu: 0.7777 0.0000 0.7777  3 S 2.22-2.25
Sb: 0.5536 0.9942 0.0000  3 S 2.46-2.55
Sb: 0.9942 0.5536 0.0000  3 S 2.46-2.55
Sb: 0.0058 0.0058 0.5595  3 S 2.46-2.55
Sb: 0.4464 0.4464 0.4405  3 S 2.46-2.55
S: 0.0000 0.0000 0.0000  4 Cu 2.25, 2 Fe 2.26
S: 0.4789 0.2504 0.0000  1 Fe 2.19, 2 Cu 2.26
S: 0.2331 0.7498 0.7510  3 Cu 2.22-2.26, 1 Sb 2.46
S: 0.4821 0.9989 0.2490  3 Cu 2.22-2.26, 1 Sb 2.46
S: 0.2504 0.4789 0.0000  1 Fe 2.19, 2 Cu 2.26
S: 0.9989 0.4821 0.2490  3 Cu 2.22-2.26, 1 Sb 2.46
S: 0.7498 0.2331 0.7510  3 Cu 2.22-2.26, 1 Sb 2.46
S: 0.7496 0.7496 0.2285  1 Fe 2.19, 2 Cu 2.26
S: 0.0011 0.2502 0.4833  3 Cu 2.22-2.26, 1 Sb 2.46
S: 0.2502 0.0011 0.4833  3 Cu 2.22-2.26, 1 Sb 2.46
S: 0.5211 0.5211 0.7715  1 Fe 2.19, 2 Cu 2.26
S: 0.7669 0.5179 0.5167  3 Cu 2.22-2.26, 1 Sb 2.46
S: 0.5179 0.7669 0.5167  3 Cu 2.22-2.26, 1 Sb 2.46

D(E_F) ... 9.426 states/eV per cell
ΔE_f (raw) ... -215 meV/atom
DFT total energy ... -4.922 eV/atom
Magnetic moment ... 8.09 μB/cell
Crystal system ... tetragonal
Symmetry ... I-42m

=====

(9)
# FeCu2SiS4

A relaxed FeCu2SiS4 crystal (GGA-PBEsol, the Alexandria database).

a = 6.0374 Å, b = 6.2791 Å, c = 7.2632 Å
α = 90.00°, β = 90.00°, γ = 90.00°
Last column: nearest neighbours and their distance in Å.
Fractional positions:
Fe: 0.9959 0.8447 0.5000  4 S 2.24-2.28
Fe: 0.4959 0.1553 0.0000  4 S 2.24-2.28
Cu: 0.5102 0.6760 0.7463  4 S 2.25-2.28
Cu: 0.5102 0.6760 0.2537  4 S 2.25-2.28
Cu: 0.0102 0.3240 0.7537  4 S 2.25-2.28
Cu: 0.0102 0.3240 0.2463  4 S 2.25-2.28
Si: 0.4985 0.1720 0.5000  4 S 2.15-2.16
Si: 0.9985 0.8280 0.0000  4 S 2.15-2.16
S: 0.8568 0.1758 0.5000  1 Si 2.16, 1 Fe 2.24, 2 Cu 2.26
S: 0.3568 0.8242 0.0000  1 Si 2.16, 1 Fe 2.24, 2 Cu 2.26
S: 0.3731 0.8516 0.5000  1 Si 2.15, 2 Cu 2.26, 1 Fe 2.28
S: 0.8731 0.1484 0.0000  1 Si 2.15, 2 Cu 2.26, 1 Fe 2.28
S: 0.8826 0.6649 0.7566  1 Si 2.16, 2 Cu 2.25-2.28, 1 Fe 2.28
S: 0.8826 0.6649 0.2434  1 Si 2.16, 2 Cu 2.25-2.28, 1 Fe 2.28
S: 0.3826 0.3351 0.7434  1 Si 2.16, 2 Cu 2.25-2.28, 1 Fe 2.28
S: 0.3826 0.3351 0.2566  1 Si 2.16, 2 Cu 2.25-2.28, 1 Fe 2.28

D(E_F) ... 5.219 states/eV per cell
ΔE_f (raw) ... -425 meV/atom
DFT total energy ... -5.539 eV/atom
Magnetic moment ... 8.02 μB/cell
Crystal system ... orthorhombic
Symmetry ... Pmn2_1

=====

(10)
# FeCu2Sn3S8

A relaxed FeCu2Sn3S8 crystal (GGA-PBEsol, the Alexandria database).

a = 7.1802 Å, b = 7.1802 Å, c = 7.2095 Å
α = 60.13°, β = 60.13°, γ = 60.00°
Last column: nearest neighbours and their distance in Å.
Fractional positions:
Fe: 0.0000 0.0000 0.0000  6 S 2.31
Cu: 0.6198 0.6198 0.1405  4 S 2.25-2.32
Cu: 0.3802 0.3802 0.8595  4 S 2.25-2.32
Sn: 0.0000 0.5000 0.5000  6 S 2.56-2.57
Sn: 0.0000 0.0000 0.5000  6 S 2.56-2.57
Sn: 0.5000 0.0000 0.5000  6 S 2.56-2.57
S: 0.2266 0.7722 0.7746  1 Fe 2.31, 1 Cu 2.32, 2 Sn 2.56
S: 0.2529 0.2529 0.2414  1 Cu 2.25
S: 0.2278 0.7734 0.2254  1 Fe 2.31, 1 Cu 2.32, 2 Sn 2.56
S: 0.7734 0.7734 0.2254  1 Fe 2.31, 1 Cu 2.32, 2 Sn 2.56
S: 0.7734 0.2278 0.2254  1 Fe 2.31, 1 Cu 2.32, 2 Sn 2.56
S: 0.7471 0.7471 0.7586  1 Cu 2.25
S: 0.7722 0.2266 0.7746  1 Fe 2.31, 1 Cu 2.32, 2 Sn 2.56
S: 0.2266 0.2266 0.7746  1 Fe 2.31, 1 Cu 2.32, 2 Sn 2.56

ΔE_f (raw) ... -440 meV/atom
DFT total energy ... -5.117 eV/atom
Magnetic moment ... 0.09 μB/cell
Crystal system ... trigonal
Symmetry ... R-3m

=====

(11)
# FeCu2SnS4

A relaxed FeCu2SnS4 crystal (GGA-PBEsol, the Alexandria database).

a = 5.2662 Å, b = 5.3714 Å, c = 5.3714 Å
α = 90.00°, β = 90.00°, γ = 90.00°
Last column: nearest neighbours and their distance in Å.
Fractional positions:
Fe: 0.0000 0.5000 0.5000  4 S 2.25
Cu: 0.5000 0.5000 0.0000  4 S 2.27
Cu: 0.5000 0.0000 0.5000  4 S 2.27
Sn: 0.0000 0.0000 0.0000  4 S 2.47
S: 0.2658 0.2673 0.2673  1 Fe 2.25, 2 Cu 2.27, 1 Sn 2.47
S: 0.7342 0.7327 0.2673  1 Fe 2.25, 2 Cu 2.27, 1 Sn 2.47
S: 0.7342 0.2673 0.7327  1 Fe 2.25, 2 Cu 2.27, 1 Sn 2.47
S: 0.2658 0.7327 0.7327  1 Fe 2.25, 2 Cu 2.27, 1 Sn 2.47

D(E_F) ... 3.175 states/eV per cell
ΔE_f (raw) ... -331 meV/atom
DFT total energy ... -5.259 eV/atom
Magnetic moment ... 3.83 μB/cell
Crystal system ... tetragonal
Symmetry ... P-42m

=====

(12)
# ZnFe4Cu10Sn5S20

A relaxed ZnFe4Cu10Sn5S20 crystal (GGA-PBEsol, the Alexandria database).

a = 5.3765 Å, b = 5.3765 Å, c = 26.6259 Å
α = 95.79°, β = 95.79°, γ = 90.00°
Last column: nearest neighbours and their distance in Å.
Fractional positions:
Zn: 0.0000 0.0000 0.0000  4 S 2.33
Fe: 0.3995 0.3995 0.7990  4 S 2.24-2.25
Fe: 0.7998 0.7998 0.5996  4 S 2.24
Fe: 0.2002 0.2002 0.4004  4 S 2.24
Fe: 0.6005 0.6005 0.2010  4 S 2.24-2.25
Cu: 0.8496 0.3496 0.6992  4 S 2.27
Cu: 0.2500 0.7500 0.5000  4 S 2.27
Cu: 0.6504 0.1504 0.3008  4 S 2.27
Cu: 0.0509 0.5509 0.1019  4 S 2.26-2.27
Cu: 0.4491 0.9491 0.8981  4 S 2.26-2.27
Cu: 0.3496 0.8496 0.6992  4 S 2.27
Cu: 0.7500 0.2500 0.5000  4 S 2.27
Cu: 0.1504 0.6504 0.3008  4 S 2.27
Cu: 0.5509 0.0509 0.1019  4 S 2.26-2.27
Cu: 0.9491 0.4491 0.8981  4 S 2.26-2.27
Sn: 0.8991 0.8991 0.7983  4 S 2.48
Sn: 0.2998 0.2998 0.5996  4 S 2.48
Sn: 0.7002 0.7002 0.4004  4 S 2.48
Sn: 0.1009 0.1009 0.2017  4 S 2.48
Sn: 0.5000 0.5000 0.0000  4 S 2.45
S: 0.0564 0.5962 0.6527  1 Fe 2.24, 2 Cu 2.27, 1 Sn 2.48
S: 0.4568 0.9967 0.4535  1 Fe 2.24, 2 Cu 2.27, 1 Sn 2.48
S: 0.8570 0.3974 0.2544  1 Fe 2.24, 2 Cu 2.27, 1 Sn 2.48
S: 0.2673 0.7876 0.0549  2 Cu 2.27, 1 Zn 2.33, 1 Sn 2.45
S: 0.6580 0.1937 0.8517  1 Fe 2.25, 2 Cu 2.26, 1 Sn 2.48
S: 0.5962 0.0564 0.6527  1 Fe 2.24, 2 Cu 2.27, 1 Sn 2.48
S: 0.9967 0.4568 0.4535  1 Fe 2.24, 2 Cu 2.27, 1 Sn 2.48
S: 0.3974 0.8570 0.2544  1 Fe 2.24, 2 Cu 2.27, 1 Sn 2.48
S: 0.7876 0.2673 0.0549  2 Cu 2.27, 1 Zn 2.33, 1 Sn 2.45
S: 0.1937 0.6580 0.8517  1 Fe 2.25, 2 Cu 2.26, 1 Sn 2.48
S: 0.1430 0.1430 0.7456  1 Fe 2.24, 2 Cu 2.27, 1 Sn 2.48
S: 0.5432 0.5432 0.5465  1 Fe 2.24, 2 Cu 2.27, 1 Sn 2.48
S: 0.9436 0.9436 0.3473  1 Fe 2.24, 2 Cu 2.27, 1 Sn 2.48
S: 0.3420 0.3420 0.1483  1 Fe 2.25, 2 Cu 2.26, 1 Sn 2.48
S: 0.7327 0.7327 0.9451  2 Cu 2.27, 1 Zn 2.33, 1 Sn 2.45
S: 0.6026 0.6026 0.7456  1 Fe 2.24, 2 Cu 2.27, 1 Sn 2.48
S: 0.0033 0.0033 0.5465  1 Fe 2.24, 2 Cu 2.27, 1 Sn 2.48
S: 0.4038 0.4038 0.3473  1 Fe 2.24, 2 Cu 2.27, 1 Sn 2.48
S: 0.8063 0.8063 0.1483  1 Fe 2.25, 2 Cu 2.26, 1 Sn 2.48
S: 0.2124 0.2124 0.9451  2 Cu 2.27, 1 Zn 2.33, 1 Sn 2.45

D(E_F) ... 13.742 states/eV per cell
ΔE_f (raw) ... -363 meV/atom
DFT total energy ... -5.107 eV/atom
Magnetic moment ... 15.29 μB/cell
Crystal system ... tetragonal
Symmetry ... I-42m